[1]
Here is crystalline Sm2AlGa2Rh5 at its relaxed geometry from the Alexandria database. Energies are from PBE.

Unit cell a=9.936 b=9.936 c=3.483 alpha=90.00 beta=90.00 gamma=90.00
Space group P4/mbm (No. 127)
Asymmetric unit:
Sm  0.174  0.326  0.000 [4 per cell]
Al  0.000  0.000  0.000 [2 per cell]
Ga  0.126  0.626  0.000 [4 per cell]
Rh  0.000  0.500  0.500 [2 per cell]
Rh  0.064  0.799  0.500 [8 per cell]

Results
Electronic total energy: -6.382 eV/atom
ΔE_f: -7.8 eV per formula unit
DOS at the Fermi energy: 11.81 states/eV/cell
Magnetization: 0.00 μB/cell

***

[2]
Here is crystalline ZrMnB3 at its relaxed geometry from the Alexandria database. Energies are from PBE.

Unit cell a=3.777 b=3.777 c=3.777 alpha=90.00 beta=90.00 gamma=90.00
Space group Pm-3m (No. 221)
Asymmetric unit:
Zr  0.000  0.000  0.000 [1 per cell]
Mn  0.500  0.500  0.500 [1 per cell]
B  0.000  0.500  0.500 [3 per cell]

Results
Electronic total energy: -7.494 eV/atom
ΔE_f: 0.3 eV per formula unit
DOS at the Fermi energy: 1.36 states/eV/cell
Magnetization: 0.00 μB/cell

***

[3]
Here is crystalline Ba2ZrHg at its relaxed geometry from the Alexandria database. Energies are from PBE.

Unit cell a=5.049 b=5.049 c=10.615 alpha=90.00 beta=90.00 gamma=90.00
Space group I4/mmm (No. 139)
Asymmetric unit:
Ba  0.000  0.500  0.250 [4 per cell]
Zr  0.000  0.000  0.000 [2 per cell]
Hg  0.000  0.000  0.500 [2 per cell]

Results
Electronic total energy: -2.807 eV/atom
ΔE_f: 1.5 eV per formula unit
DOS at the Fermi energy: 8.87 states/eV/cell
Magnetization: 0.00 μB/cell

***

[4]
Here is crystalline LaBi2Ir at its relaxed geometry from the Alexandria database. Energies are from PBE.

Unit cell a=3.7043 b=3.7043 c=30.7116 alpha=90.00 beta=90.00 gamma=120.00
Space group R-3m (No. 166, hexagonal axes)
Asymmetric unit:
La  0.0000  0.0000  0.0000 [3 per cell]
Bi  0.0000  0.0000  0.1090 [6 per cell]
Ir  0.0000  0.0000  0.5000 [3 per cell]

Results
Electronic total energy: -5.259 eV/atom
ΔE_f: 0.5 eV per formula unit
DOS at the Fermi energy: 9.47 states/eV/cell
Magnetization: 0.00 μB/cell

***

[5]
Here is crystalline Sm2Ga2Br at its relaxed geometry from the Alexandria database. Energies are from PBE.

Unit cell a=4.2048 b=4.2048 c=24.1086 alpha=90.00 beta=90.00 gamma=120.00
Space group R-3m (No. 166, hexagonal axes)
Asymmetric unit:
Sm  0.0000  0.0000  0.0828 [6 per cell]
Ga  0.0000  0.0000  0.3242 [6 per cell]
Br  0.0000  0.0000  0.5000 [3 per cell]

Results
Electronic total energy: -4.355 eV/atom
DOS at the Fermi energy: 6.01 states/eV/cell
Raw formation energy: -89.0 kJ per mole of atoms
Magnetization: 0.00 μB/cell

***

[6]
Here is crystalline Sm8Bi3Te4Pb at its relaxed geometry from the Alexandria database. Energies are from PBE.

Unit cell a=9.0313 b=9.0313 c=21.9863 alpha=90.00 beta=90.00 gamma=120.00
Space group R-3m (No. 166, hexagonal axes)
Asymmetric unit:
Sm  0.0000  0.0000  0.2493 [6 per cell]
Sm  0.0039  0.5019  0.2485 [18 per cell]
Bi  0.0000  0.5000  0.5000 [9 per cell]
Te  0.0000  0.0000  0.0000 [3 per cell]
Te  0.0000  0.5000  0.0000 [9 per cell]
Pb  0.0000  0.0000  0.5000 [3 per cell]

Results
Electronic total energy: -5.243 eV/atom
DOS at the Fermi energy: 19.91 states/eV/cell
Raw formation energy: -109.8 kJ per mole of atoms
Magnetization: 0.00 μB/cell